[1]
This record from Alexandria describes an optimized crystal structure of Pm6Pd3O. The functional is PBE.

Total energy (eV for the cell shown): -117.9

a = 6.672 Å, b = 7.428 Å, c = 10.272 Å
α = 90.00°, β = 89.29°, γ = 90.00°
Atoms (fractional coordinates):
Pm  0.650  0.462  0.263
Pm  0.312  0.835  0.065
Pm  0.353  0.806  0.432
Pm  0.850  0.962  0.237
Pm  0.188  0.335  0.435
Pm  0.150  0.038  0.763
Pm  0.647  0.194  0.568
Pm  0.350  0.538  0.737
Pm  0.147  0.306  0.068
Pm  0.688  0.165  0.935
Pm  0.812  0.665  0.565
Pm  0.853  0.694  0.932
Pd  0.435  0.111  0.256
Pd  0.000  0.000  0.500
Pd  0.500  0.500  0.000
Pd  0.565  0.889  0.744
Pd  0.065  0.611  0.244
Pd  0.935  0.389  0.756
O  0.000  0.000  0.000
O  0.500  0.500  0.500

***

[2]
This record from Alexandria describes an optimized crystal structure of Ni2SBr. The functional is PBE.

Total energy (eV for the cell shown): -36.1

a = 5.427 Å, b = 5.427 Å, c = 6.317 Å
α = 64.56°, β = 64.56°, γ = 90.00°
Atoms (fractional coordinates):
S  0.250  0.750  0.500
S  0.500  0.500  0.000
Ni  0.875  0.821  0.750
Ni  0.375  0.429  0.750
Ni  0.179  0.625  0.250
Ni  0.571  0.125  0.250
Br  0.000  0.000  0.000
Br  0.750  0.250  0.500

***

[3]
This record from Alexandria describes an optimized crystal structure of Sr2WAu. The functional is PBE.

Formation energy from the elements (meV/atom): 577

a = 3.524 Å, b = 3.524 Å, c = 9.398 Å
α = 90.00°, β = 90.00°, γ = 92.85°
Atoms (fractional coordinates):
Sr  0.500  0.500  0.320
Sr  0.000  0.000  0.925
W  0.000  0.000  0.564
Au  0.500  0.500  0.691

***

Spin magnetization / μB/cell: 0.000; 0.000; 0.080
DOS at the Fermi energy / states/eV/cell: 17.11; 8.41; 5.35